# 1
Crystalline Ti4TcO at its relaxed geometry. Source: Alexandria, functional PBE-GGA.

Summary:
- Formation energy without anion corrections: -0.91 eV/atom
- SG: P2_1/c, No. 14
- Calculated total energy: -8.73 eV/atom

abc: 5.5427 5.3855 6.0568
angles: 90.00 102.00 90.00
Atoms (fractional coordinates):
1 Ti 0.0965 0.1604 0.1911
2 Ti 0.0965 0.3396 0.6911
3 Ti 0.3422 0.6248 0.1203
4 Ti 0.3422 0.8752 0.6203
5 Ti 0.6578 0.1248 0.3797
6 Ti 0.6578 0.3752 0.8797
7 Ti 0.9035 0.6604 0.3089
8 Ti 0.9035 0.8396 0.8089
9 Tc 0.5000 0.0000 0.0000
10 Tc 0.5000 0.5000 0.5000
11 O 0.0000 0.0000 0.5000
12 O 0.0000 0.5000 0.0000

---

# 2
Crystalline TaMoC2 at its relaxed geometry. Source: Alexandria, functional PBE-GGA.

Summary:
- DFT formation energy: 0.472 eV per atom
- SG: C2/m, No. 12
- Calculated total energy: -9.81 eV/atom

abc: 4.2786 4.2786 3.0942
angles: 110.60 110.60 90.06
Atoms (fractional coordinates):
1 Ta 0.0000 0.0000 0.0000
2 Mo 0.5000 0.5000 0.0000
3 C 0.0000 0.5000 0.0000
4 C 0.5000 0.0000 0.0000

---

# 3
Crystalline SiTcGeRu at its relaxed geometry. Source: Alexandria, functional PBE-GGA.

Summary:
- Formation energy without anion corrections: -0.32 eV/atom
- SG: F-43m, No. 216
- Calculated total energy: -7.74 eV/atom

abc: 4.2473 4.2473 4.2473
angles: 60.00 60.00 60.00
Atoms (fractional coordinates):
1 Si 0.0000 0.0000 0.0000
2 Tc 0.2500 0.2500 0.2500
3 Ge 0.5000 0.5000 0.5000
4 Ru 0.7500 0.7500 0.7500

---

# 4
Crystalline Pm3TeRu at its relaxed geometry. Source: Alexandria, functional PBE-GGA.

Summary:
- Formation energy without anion corrections: -0.59 eV/atom
- SG: C2/c, No. 15
- Calculated total energy: -5.92 eV/atom

abc: 9.5480 9.5480 7.4515
angles: 90.00 90.00 67.16
Atoms (fractional coordinates):
1 Pm 0.0064 0.2278 0.1205
2 Pm 0.0077 0.3860 0.6802
3 Pm 0.2278 0.0064 0.6205
4 Pm 0.3241 0.4043 0.0637
5 Pm 0.3860 0.0077 0.1802
6 Pm 0.4043 0.3241 0.5637
7 Pm 0.5957 0.6759 0.4363
8 Pm 0.6140 0.9923 0.8198
9 Pm 0.6759 0.5957 0.9363
10 Pm 0.7722 0.9936 0.3795
11 Pm 0.9923 0.6140 0.3198
12 Pm 0.9936 0.7722 0.8795
13 Te 0.1337 0.8663 0.2500
14 Te 0.3519 0.6481 0.7500
15 Te 0.6481 0.3519 0.2500
16 Te 0.8663 0.1337 0.7500
17 Ru 0.1880 0.2917 0.3641
18 Ru 0.2917 0.1880 0.8641
19 Ru 0.7083 0.8120 0.1359
20 Ru 0.8120 0.7083 0.6359

---

# 5
Crystalline LaZr2Br at its relaxed geometry. Source: Alexandria, functional PBE-GGA.

Summary:
- Formation energy without anion corrections: -0.06 eV/atom
- SG: R-3m, No. 166
- Calculated total energy: -5.99 eV/atom

abc: 10.2196 10.2196 10.2196
angles: 19.32 19.32 19.32
Atoms (fractional coordinates):
1 La 0.0000 0.0000 0.0000
2 Zr 0.2416 0.2416 0.2416
3 Zr 0.7584 0.7584 0.7584
4 Br 0.5000 0.5000 0.5000

---

# 6
Crystalline Ta2ZnHg at its relaxed geometry. Source: Alexandria, functional PBE-GGA.

Summary:
- DFT formation energy: 0.190 eV per atom
- SG: P4/mmm, No. 123
- Calculated total energy: -6.13 eV/atom

abc: 2.9038 2.9038 8.3462
angles: 90.00 90.00 90.00
Atoms (fractional coordinates):
1 Ta 0.0000 0.0000 0.2279
2 Ta 0.0000 0.0000 0.7721
3 Zn 0.5000 0.5000 0.0000
4 Hg 0.5000 0.5000 0.5000